1.
## KTa3Sn5 (PBE-GGA)

Data for a relaxed KTa3Sn5 crystal.

The structure in CIF format:
```
data_KTa3Sn5
_cell_length_a 5.9021
_cell_length_b 5.9021
_cell_length_c 7.5418
_cell_angle_alpha 90.00
_cell_angle_beta 90.00
_cell_angle_gamma 120.00
_symmetry_space_group_name_H-M 'P 6/m m m'
_symmetry_Int_Tables_number 191
_symmetry_space_group_name_Hall '-P 6 2'
loop_
_atom_site_label
_atom_site_fract_x
_atom_site_fract_y
_atom_site_fract_z
K1 0.0000 0.0000 0.0000
Ta1 0.0000 0.5000 0.5000
Sn1 0.0000 0.0000 0.5000
Sn2 0.3333 0.6667 0.1917
```

Calculated values
Its total magnetic moment is 0.00 μB per formula unit. As for the energy: -6.32 eV/atom.

***

2.
## KTbSn (PBE-GGA)

Data for a relaxed KTbSn crystal.

The structure in CIF format:
```
data_KTbSn
_cell_length_a 7.4289
_cell_length_b 7.4289
_cell_length_c 7.4289
_cell_angle_alpha 90.00
_cell_angle_beta 90.00
_cell_angle_gamma 90.00
_symmetry_space_group_name_H-M 'F -4 3 m'
_symmetry_Int_Tables_number 216
_symmetry_space_group_name_Hall 'F -4 2 3'
loop_
_atom_site_label
_atom_site_fract_x
_atom_site_fract_y
_atom_site_fract_z
K1 0.0000 0.0000 0.0000
Tb1 0.2500 0.2500 0.2500
Sn1 0.2500 0.2500 0.7500
```

Calculated values
Its total magnetic moment is 0.00 μB per formula unit. As for the energy: -2.74 eV/atom.

***

3.
## KTbSnTe3 (PBE-GGA)

Data for a relaxed KTbSnTe3 crystal.

The structure in CIF format:
```
data_KTbSnTe3
_cell_length_a 4.3869
_cell_length_b 17.2522
_cell_length_c 12.7695
_cell_angle_alpha 90.00
_cell_angle_beta 90.00
_cell_angle_gamma 90.00
_symmetry_space_group_name_H-M 'C m c m'
_symmetry_Int_Tables_number 63
_symmetry_space_group_name_Hall '-C 2c 2'
loop_
_atom_site_label
_atom_site_fract_x
_atom_site_fract_y
_atom_site_fract_z
K1 0.0000 0.1907 0.2500
Tb1 0.0000 0.5000 0.0000
Sn1 0.0000 0.1129 0.7500
Te1 0.0000 0.1253 0.5048
Te2 0.0000 0.4967 0.7500
```

Calculated values
Its total magnetic moment is 0.00 μB per formula unit. As for the energy: -4.07 eV/atom.

***

4.
## KTbSnTe3 (PBE-GGA)

Data for a relaxed KTbSnTe3 crystal.

The structure in CIF format:
```
data_KTbSnTe3
_cell_length_a 16.5188
_cell_length_b 4.4400
_cell_length_c 12.6365
_cell_angle_alpha 90.00
_cell_angle_beta 90.00
_cell_angle_gamma 90.00
_symmetry_space_group_name_H-M 'P n m a'
_symmetry_Int_Tables_number 62
_symmetry_space_group_name_Hall '-P 2ac 2n'
loop_
_atom_site_label
_atom_site_fract_x
_atom_site_fract_y
_atom_site_fract_z
K1 0.2289 0.2500 0.0775
Tb1 0.0076 0.7500 0.6492
Sn1 0.0372 0.2500 0.9177
Te1 0.0939 0.7500 0.2328
Te2 0.1076 0.2500 0.5411
Te3 0.1390 0.7500 0.8303
```

Calculated values
Its total magnetic moment is 0.00 μB per formula unit. As for the energy: -4.19 eV/atom.

***

5.
## KTcSn (PBE-GGA)

Data for a relaxed KTcSn crystal.

The structure in CIF format:
```
data_KTcSn
_cell_length_a 7.3173
_cell_length_b 7.3173
_cell_length_c 7.3173
_cell_angle_alpha 90.00
_cell_angle_beta 90.00
_cell_angle_gamma 90.00
_symmetry_space_group_name_H-M 'F -4 3 m'
_symmetry_Int_Tables_number 216
_symmetry_space_group_name_Hall 'F -4 2 3'
loop_
_atom_site_label
_atom_site_fract_x
_atom_site_fract_y
_atom_site_fract_z
K1 0.0000 0.0000 0.0000
Tc1 0.2500 0.2500 0.2500
Sn1 0.2500 0.2500 0.7500
```

Calculated values
Its total magnetic moment is 3.52 μB per formula unit. As for the energy: -3.39 eV/atom.

***

6.
## KTcSn (PBE-GGA)

Data for a relaxed KTcSn crystal.

The structure in CIF format:
```
data_KTcSn
_cell_length_a 6.8620
_cell_length_b 6.8620
_cell_length_c 6.8620
_cell_angle_alpha 90.00
_cell_angle_beta 90.00
_cell_angle_gamma 90.00
_symmetry_space_group_name_H-M 'F -4 3 m'
_symmetry_Int_Tables_number 216
_symmetry_space_group_name_Hall 'F -4 2 3'
loop_
_atom_site_label
_atom_site_fract_x
_atom_site_fract_y
_atom_site_fract_z
K1 0.0000 0.0000 0.0000
Tc1 0.2500 0.2500 0.2500
Sn1 0.0000 0.0000 0.5000
```

Calculated values
Its total magnetic moment is 1.58 μB per formula unit. As for the energy: -4.08 eV/atom.